Entry 1:
VASP calculation (PBE-GGA) on a relaxed structure of TbDyY5.

Cell: 6.1084 9.2707 8.8389 Å, 86.03 77.88 70.76°
Last column: nearest neighbours and their distance in Å.
Sites, in units of the cell vectors:
Tb (0.0000, 0.0000, 0.0000)  6 Y 3.35-3.65, 2 Dy 3.38
Tb (0.0000, 0.0000, 0.5000)  6 Y 3.35-3.65, 2 Dy 3.38
Dy (0.5129, 0.9743, 0.7500)  2 Tb 3.38, 6 Y 3.47-3.71
Dy (0.4871, 0.0257, 0.2500)  2 Tb 3.38, 6 Y 3.47-3.71
Y (0.3897, 0.6246, 0.8540)  8 Y 3.31-3.67, 1 Dy 3.58, 1 Tb 3.65
Y (0.4582, 0.3083, 0.5373)  5 Y 3.31-3.67, 1 Dy 3.47, 1 Tb 3.56
Y (0.0143, 0.3754, 0.3540)  8 Y 3.31-3.67, 1 Dy 3.58, 1 Tb 3.65
Y (0.8562, 0.2875, 0.7500)  6 Y 3.32-3.54, 2 Tb 3.35
Y (0.2334, 0.3083, 0.9627)  5 Y 3.31-3.67, 1 Dy 3.47, 1 Tb 3.56
Y (0.7666, 0.6917, 0.0373)  5 Y 3.31-3.67, 1 Dy 3.47, 1 Tb 3.56
Y (0.1438, 0.7125, 0.2500)  6 Y 3.32-3.54, 2 Tb 3.35
Y (0.9857, 0.6246, 0.6460)  8 Y 3.31-3.67, 1 Dy 3.58, 1 Tb 3.65
Y (0.5418, 0.6917, 0.4627)  5 Y 3.31-3.67, 1 Dy 3.47, 1 Tb 3.56
Y (0.6103, 0.3754, 0.1460)  8 Y 3.31-3.67, 1 Dy 3.58, 1 Tb 3.65

Values from the calculation:
energy above the most stable polymorph in this dataset = 0.000 eV per atom
space group = C2/c, No. 15
final energy = -5.759 eV/atom
ΔH_f (0 K) = 0.177 eV/atom



Entry 2:
VASP calculation (PBE-GGA) on a relaxed structure of Tb3Dy2Y3.

Cell: 6.4483 6.4483 6.4483 Å, 84.40 84.40 95.60°
Last column: nearest neighbours and their distance in Å.
Sites, in units of the cell vectors:
Tb (0.3126, 0.6874, 0.0000)  4 Y 3.35-3.58, 2 Tb 3.36, 4 Dy 3.57
Tb (0.0000, 0.3126, 0.3126)  4 Y 3.35-3.58, 2 Tb 3.36, 4 Dy 3.57
Tb (0.6874, 0.0000, 0.6874)  4 Y 3.35-3.58, 2 Tb 3.36, 4 Dy 3.57
Dy (0.1949, 0.1949, 0.8051)  3 Y 3.46, 6 Tb 3.57
Dy (0.8051, 0.8051, 0.1949)  3 Y 3.46, 6 Tb 3.57
Y (0.2164, 0.7836, 0.5000)  4 Tb 3.35-3.58, 2 Y 3.44, 2 Dy 3.46
Y (0.5000, 0.2164, 0.2164)  4 Tb 3.35-3.58, 2 Y 3.44, 2 Dy 3.46
Y (0.7836, 0.5000, 0.7836)  4 Tb 3.35-3.58, 2 Y 3.44, 2 Dy 3.46

Values from the calculation:
energy above the most stable polymorph in this dataset = 0.048 eV per atom
space group = R32, No. 155
final energy = -5.169 eV/atom
ΔH_f (0 K) = 0.142 eV/atom



Entry 3:
VASP calculation (PBE-GGA) on a relaxed structure of Tb2Dy3Y3.

Cell: 5.0334 5.0309 10.6744 Å, 103.63 103.64 90.00°
Last column: nearest neighbours and their distance in Å.
Sites, in units of the cell vectors:
Tb (0.7500, 0.2500, 0.5000)  4 Dy 3.56, 4 Y 3.56, 4 Tb 3.56
Tb (0.2500, 0.7500, 0.5000)  4 Dy 3.56, 4 Y 3.56, 4 Tb 3.56
Dy (0.1252, 0.1252, 0.2503)  4 Tb 3.56, 6 Y 3.56, 2 Dy 3.56
Dy (0.0000, 0.5000, 0.0000)  8 Y 3.56, 4 Dy 3.56
Dy (0.8748, 0.8748, 0.7497)  4 Tb 3.56, 6 Y 3.56, 2 Dy 3.56
Y (0.6252, 0.6252, 0.2503)  4 Tb 3.56, 6 Dy 3.56, 2 Y 3.56
Y (0.3748, 0.3748, 0.7497)  4 Tb 3.56, 6 Dy 3.56, 2 Y 3.56
Y (0.5000, 0.0000, 0.0000)  8 Dy 3.56, 4 Y 3.56

Values from the calculation:
energy above the most stable polymorph in this dataset = 0.000 eV per atom
space group = Immm, No. 71
final energy = -5.286 eV/atom
ΔH_f (0 K) = 0.021 eV/atom



Entry 4:
VASP calculation (PBE-GGA) on a relaxed structure of TbDy5Y3.

Cell: 6.3158 12.0633 11.3897 Å, 131.79 90.00 105.18°
Last column: nearest neighbours and their distance in Å.
Sites, in units of the cell vectors:
Tb (0.8735, 0.0000, 0.7500)  2 Y 2.96, 2 Dy 3.01-3.31
Tb (0.1265, 0.0000, 0.2500)  2 Y 2.96, 2 Dy 3.01-3.31
Dy (0.3972, 0.0000, 0.7500)  2 Tb 3.01-3.31, 2 Dy 3.19
Dy (0.6504, 0.6595, 0.0331)  4 Dy 3.19-3.47, 1 Tb 3.47, 1 Y 3.52
Dy (0.8830, 0.3392, 0.1272)  4 Y 3.36-3.62, 2 Dy 3.39-3.47, 1 Tb 3.41
Dy (0.3496, 0.3405, 0.9669)  4 Dy 3.19-3.47, 1 Tb 3.47, 1 Y 3.52
Dy (0.5438, 0.6608, 0.3728)  4 Y 3.36-3.62, 2 Dy 3.39-3.47, 1 Tb 3.41
Dy (0.6028, 0.0000, 0.2500)  2 Tb 3.01-3.31, 2 Dy 3.19
Dy (0.0091, 0.6595, 0.5331)  4 Dy 3.19-3.47, 1 Tb 3.47, 1 Y 3.52
Dy (0.9909, 0.3405, 0.4669)  4 Dy 3.19-3.47, 1 Tb 3.47, 1 Y 3.52
Dy (0.4562, 0.3392, 0.6272)  4 Y 3.36-3.62, 2 Dy 3.39-3.47, 1 Tb 3.41
Dy (0.1170, 0.6608, 0.8728)  4 Y 3.36-3.62, 2 Dy 3.39-3.47, 1 Tb 3.41
Y (0.0000, 0.0000, 0.0000)  2 Tb 2.96
Y (0.4699, 0.3184, 0.3048)  6 Dy 3.36-3.70, 2 Y 3.45-3.50, 1 Tb 3.51
Y (0.0000, 0.0000, 0.5000)  2 Tb 2.96
Y (0.5301, 0.6816, 0.6952)  6 Dy 3.36-3.70, 2 Y 3.45-3.50, 1 Tb 3.51
Y (0.8485, 0.3184, 0.8048)  6 Dy 3.36-3.70, 2 Y 3.45-3.50, 1 Tb 3.51
Y (0.1515, 0.6816, 0.1952)  6 Dy 3.36-3.70, 2 Y 3.45-3.50, 1 Tb 3.51

Values from the calculation:
energy above the most stable polymorph in this dataset = 0.000 eV per atom
space group = C2/c, No. 15
final energy = -4.929 eV/atom
ΔH_f (0 K) = 0.297 eV/atom



Entry 5:
VASP calculation (PBE-GGA) on a relaxed structure of Tb4Dy6Y.

Cell: 9.7362 9.7362 9.7362 Å, 56.75 140.72 140.72°
Last column: nearest neighbours and their distance in Å.
Sites, in units of the cell vectors:
Tb (0.0000, 0.6384, 0.0128)  5 Dy 3.33-3.52, 1 Y 3.45, 1 Tb 3.46
Tb (0.3743, 0.3616, 0.3616)  5 Dy 3.33-3.52, 1 Y 3.45, 1 Tb 3.46
Tb (0.0000, 0.0128, 0.6384)  5 Dy 3.33-3.52, 1 Y 3.45, 1 Tb 3.46
Tb (0.6257, 0.9872, 0.9872)  5 Dy 3.33-3.52, 1 Y 3.45, 1 Tb 3.46
Dy (0.0000, 0.8102, 0.4519)  3 Dy 3.29-3.32, 5 Tb 3.33-3.52
Dy (0.0000, 0.4519, 0.8102)  3 Dy 3.29-3.32, 5 Tb 3.33-3.52
Dy (0.3584, 0.5481, 0.5481)  3 Dy 3.29-3.32, 5 Tb 3.33-3.52
Dy (0.5000, 0.5000, 0.0000)  2 Y 3.27, 4 Dy 3.29
Dy (0.6416, 0.1898, 0.1898)  3 Dy 3.29-3.32, 5 Tb 3.33-3.52
Dy (0.5000, 0.0000, 0.5000)  2 Y 3.27, 4 Dy 3.29
Y (0.0000, 0.0000, 0.0000)  4 Dy 3.27, 4 Tb 3.45

Values from the calculation:
energy above the most stable polymorph in this dataset = 0.000 eV per atom
space group = I-42m, No. 121
final energy = -4.473 eV/atom
ΔH_f (0 K) = 0.309 eV/atom



Entry 6:
VASP calculation (PBE-GGA) on a relaxed structure of Tb2Dy12Y5.

Cell: 6.1517 10.6576 12.7963 Å, 133.84 94.68 84.45°
Last column: nearest neighbours and their distance in Å.
Sites, in units of the cell vectors:
Tb (0.5799, 0.8431, 0.8164)  9 Dy 3.54-3.56, 1 Tb 3.55, 2 Y 3.56
Tb (0.4201, 0.1569, 0.1836)  9 Dy 3.54-3.56, 1 Tb 3.55, 2 Y 3.56
Dy (0.9466, 0.1053, 0.2893)  6 Dy 3.54-3.56, 2 Tb 3.55, 4 Y 3.55-3.56
Dy (0.1050, 0.7895, 0.9208)  3 Tb 3.54-3.56, 7 Dy 3.54-3.56, 2 Y 3.55
Dy (0.6315, 0.7378, 0.0262)  2 Tb 3.54, 7 Dy 3.54-3.56, 3 Y 3.55-3.56
Dy (0.2100, 0.5781, 0.3410)  6 Dy 3.54-3.56, 5 Y 3.55-3.56, 1 Tb 3.56
Dy (0.6829, 0.6320, 0.2369)  5 Y 3.54-3.57, 7 Dy 3.55-3.56
Dy (0.5248, 0.9469, 0.6050)  4 Y 3.54-3.56, 7 Dy 3.54-3.56, 1 Tb 3.55
Dy (0.4752, 0.0531, 0.3950)  4 Y 3.54-3.56, 7 Dy 3.54-3.56, 1 Tb 3.55
Dy (0.7900, 0.4219, 0.6590)  6 Dy 3.54-3.56, 5 Y 3.55-3.56, 1 Tb 3.56
Dy (0.3171, 0.3680, 0.7631)  5 Y 3.54-3.57, 7 Dy 3.55-3.56
Dy (0.8950, 0.2105, 0.0792)  3 Tb 3.54-3.56, 7 Dy 3.54-3.56, 2 Y 3.55
Dy (0.3685, 0.2622, 0.9738)  2 Tb 3.54, 7 Dy 3.54-3.56, 3 Y 3.55-3.56
Dy (0.0534, 0.8947, 0.7107)  6 Dy 3.54-3.56, 2 Tb 3.55, 4 Y 3.55-3.56
Y (0.2634, 0.4731, 0.5529)  8 Dy 3.54-3.56, 2 Y 3.56, 2 Tb 3.56
Y (0.1590, 0.6840, 0.1310)  10 Dy 3.54-3.57, 2 Y 3.56
Y (0.0000, 0.0000, 0.5000)  10 Dy 3.54-3.56, 2 Y 3.56
Y (0.8410, 0.3160, 0.8690)  10 Dy 3.54-3.57, 2 Y 3.56
Y (0.7366, 0.5269, 0.4471)  8 Dy 3.54-3.56, 2 Y 3.56, 2 Tb 3.56

Values from the calculation:
energy above the most stable polymorph in this dataset = 0.000 eV per atom
space group = P-1, No. 2
final energy = -5.075 eV/atom
ΔH_f (0 K) = 0.020 eV/atom



Entry 7:
VASP calculation (PBE-GGA) on a relaxed structure of Tb5Dy5Y.

Cell: 6.0650 6.0650 11.5366 Å, 90.00 90.00 120.00°
Last column: nearest neighbours and their distance in Å.
Sites, in units of the cell vectors:
Tb (0.6667, 0.3333, 0.1565)  7 Tb 3.61-3.97, 3 Dy 3.72, 3 Y 3.94
Tb (0.6667, 0.3333, 0.8435)  7 Tb 3.61-3.97, 3 Dy 3.72, 3 Y 3.94
Tb (0.3333, 0.6667, 0.3190)  9 Dy 3.56-3.68, 1 Y 3.68, 3 Tb 3.97
Tb (0.3333, 0.6667, 0.6810)  9 Dy 3.56-3.68, 1 Y 3.68, 3 Tb 3.97
Tb (0.0000, 0.0000, 0.0000)  2 Dy 3.05
Dy (0.3358, 0.1679, 0.5000)  6 Dy 3.01-3.24
Dy (0.0000, 0.0000, 0.2646)  1 Tb 3.05, 3 Dy 3.24
Dy (0.8321, 0.6642, 0.5000)  6 Dy 3.01-3.24
Dy (0.8321, 0.1679, 0.5000)  6 Dy 3.01-3.24
Dy (0.0000, 0.0000, 0.7354)  1 Tb 3.05, 3 Dy 3.24
Y (0.3333, 0.6667, 0.0000)  5 Tb 3.50-3.68

Values from the calculation:
energy above the most stable polymorph in this dataset = 0.176 eV per atom
space group = P-6m2, No. 187
final energy = -4.465 eV/atom
ΔH_f (0 K) = 0.320 eV/atom



Entry 8:
VASP calculation (PBE-GGA) on a relaxed structure of Tb5Dy6Y.

Cell: 11.7729 6.1557 6.1502 Å, 59.97 85.04 80.05°
Last column: nearest neighbours and their distance in Å.
Sites, in units of the cell vectors:
Tb (0.5000, 0.1665, 0.6669)  6 Tb 3.55, 6 Dy 3.55
Tb (0.0000, 0.3334, 0.3331)  3 Tb 3.55, 6 Dy 3.55, 3 Y 3.55
Tb (0.5000, 0.5000, 0.0000)  6 Dy 3.54-3.55, 6 Tb 3.55
Tb (0.0000, 0.6666, 0.6669)  3 Tb 3.55, 6 Dy 3.55, 3 Y 3.55
Tb (0.5000, 0.8335, 0.3331)  6 Tb 3.55, 6 Dy 3.55
Dy (0.7499, 0.0831, 0.3338)  6 Dy 3.55-3.56, 5 Tb 3.55, 1 Y 3.55
Dy (0.2501, 0.5831, 0.3338)  6 Dy 3.55-3.56, 5 Tb 3.55, 1 Y 3.55
Dy (0.2503, 0.2508, 0.0000)  5 Tb 3.54-3.55, 6 Dy 3.55-3.56, 1 Y 3.55
Dy (0.7497, 0.7492, 0.0000)  5 Tb 3.54-3.55, 6 Dy 3.55-3.56, 1 Y 3.55
Dy (0.7499, 0.4169, 0.6662)  6 Dy 3.55-3.56, 5 Tb 3.55, 1 Y 3.55
Dy (0.2501, 0.9169, 0.6662)  6 Dy 3.55-3.56, 5 Tb 3.55, 1 Y 3.55
Y (0.0000, 0.0000, 0.0000)  6 Tb 3.55, 6 Dy 3.55

Values from the calculation:
space group = C2/m, No. 12
final energy = -4.753 eV/atom
ΔH_f (0 K) = 0.016 eV/atom



Entry 9:
VASP calculation (PBE-GGA) on a relaxed structure of Tb3Dy4Y3.

Cell: 3.7307 9.3165 9.3165 Å, 89.93 90.00 90.00°
Last column: nearest neighbours and their distance in Å.
Sites, in units of the cell vectors:
Tb (0.0000, 0.5011, 0.0006)  4 Dy 3.67-3.68, 4 Tb 3.73-3.94, 6 Y 3.91-3.92
Tb (0.0000, 0.9994, 0.4989)  4 Dy 3.67-3.68, 4 Tb 3.73-3.94, 6 Y 3.91-3.92
Tb (0.5000, 0.1714, 0.8286)  6 Dy 3.24-3.36
Dy (0.0000, 0.6262, 0.3738)  6 Y 3.25-3.37, 1 Dy 3.34
Dy (0.0000, 0.3726, 0.6274)  2 Tb 3.24, 1 Dy 3.34, 4 Y 3.38
Dy (0.0000, 0.8741, 0.8729)  4 Y 3.25-3.38, 1 Dy 3.34, 2 Tb 3.36
Dy (0.0000, 0.1271, 0.1259)  4 Y 3.25-3.38, 1 Dy 3.34, 2 Tb 3.36
Y (0.5000, 0.8283, 0.1717)  6 Dy 3.25-3.38
Y (0.5000, 0.3282, 0.3284)  6 Dy 3.25-3.38
Y (0.5000, 0.6716, 0.6718)  6 Dy 3.25-3.38

Values from the calculation:
space group = Amm2, No. 38
final energy = -5.078 eV/atom
ΔH_f (0 K) = 0.091 eV/atom